MnBrN2F | PBE with a Hubbard U | relaxed

Calculated values
D(E_F) (states/eV per atom): 0.598
V (Å³/atom): 13.7
Mass density (g/cm³): 4.4
Excess energy over the best structure of this formula in the dataset (meV/atom): 308.7

Unit cell a=3.878 b=3.878 c=4.548 alpha=90.00 beta=90.00 gamma=90.00
Site moments in Bohr magnetons follow the coordinates.
Element x y z (fractional)
Br  0.000  0.000  0.000  0.04
F  0.000  0.000  0.500  0.03
N  0.000  0.500  0.000  -0.05
N  0.500  0.000  0.000  -0.05
Mn  0.500  0.500  0.500  4.73